Entry 1:
The following is a GGA-PBE calculation of an optimized crystal structure of AcHo2MgTl4, from Alexandria.

```
data_AcHo2MgTl4
_chemical_formula_sum 'Ac3 Ho6 Mg3 Tl12'
_space_group_name_H-M_alt 'R -3 m'
_space_group_IT_number 166
_space_group_name_Hall '-R 3 2"'
_cell_length_a 5.2006
_cell_length_b 5.2006
_cell_length_c 29.9044
_cell_angle_alpha 90.00
_cell_angle_beta 90.00
_cell_angle_gamma 120.00
loop_
_atom_site_label
_atom_site_type_symbol
_atom_site_fract_x
_atom_site_fract_y
_atom_site_fract_z
_atom_site_occupancy
Ac1 Ac 0.0000 0.0000 0.0000 1
Ho1 Ho 0.0000 0.0000 0.2346 1
Mg1 Mg 0.0000 0.0000 0.5000 1
Tl1 Tl 0.0000 0.0000 0.1273 1
Tl2 Tl 0.0000 0.0000 0.3906 1
```

- DOS(E_F): 0.67 states/eV/atom
- ΔH_f (0 K): -0.27 eV/atom

=====

Entry 2:
The following is a GGA-PBE calculation of an optimized crystal structure of TaOs3Au, from Alexandria.

```
data_TaOs3Au
_chemical_formula_sum 'Ta1 Os3 Au1'
_space_group_name_H-M_alt 'P m -3 m'
_space_group_IT_number 221
_space_group_name_Hall '-P 4 2 3'
_cell_length_a 4.7527
_cell_length_b 4.7527
_cell_length_c 4.7527
_cell_angle_alpha 90.00
_cell_angle_beta 90.00
_cell_angle_gamma 90.00
loop_
_atom_site_label
_atom_site_type_symbol
_atom_site_fract_x
_atom_site_fract_y
_atom_site_fract_z
_atom_site_occupancy
Ta1 Ta 0.0000 0.0000 0.0000 1
Os1 Os 0.0000 0.0000 0.5000 1
Au1 Au 0.5000 0.5000 0.5000 1
```

- DOS(E_F): 1.16 states/eV/atom
- ΔH_f (0 K): 2.27 eV/atom

=====

Entry 3:
The following is a GGA-PBE calculation of an optimized crystal structure of SmTh2TcN4, from Alexandria.

```
data_SmTh2TcN4
_chemical_formula_sum 'Sm4 Th8 Tc4 N16'
_space_group_name_H-M_alt 'C m c m'
_space_group_IT_number 63
_space_group_name_Hall '-C 2c 2'
_cell_length_a 3.4657
_cell_length_b 12.1847
_cell_length_c 11.9029
_cell_angle_alpha 90.00
_cell_angle_beta 90.00
_cell_angle_gamma 90.00
loop_
_atom_site_label
_atom_site_type_symbol
_atom_site_fract_x
_atom_site_fract_y
_atom_site_fract_z
_atom_site_occupancy
Sm1 Sm 0.0000 0.1171 0.2500 1
Th1 Th 0.0000 0.3683 0.0517 1
Tc1 Tc 0.0000 0.1454 0.7500 1
N1 N 0.0000 0.0000 0.0000 1
N2 N 0.0000 0.2736 0.6283 1
N3 N 0.0000 0.4623 0.2500 1
```

- DOS(E_F): 0.24 states/eV/atom

=====

Entry 4:
The following is a GGA-PBE calculation of an optimized crystal structure of LaTb2Pr5Tm, from Alexandria.

```
data_LaTb2Pr5Tm
_chemical_formula_sum 'La4 Tb8 Pr20 Tm4'
_space_group_name_H-M_alt 'I 4/m c m'
_space_group_IT_number 140
_space_group_name_Hall '-I 4 2c'
_cell_length_a 9.5211
_cell_length_b 9.5211
_cell_length_c 14.2177
_cell_angle_alpha 90.00
_cell_angle_beta 90.00
_cell_angle_gamma 90.00
loop_
_atom_site_label
_atom_site_type_symbol
_atom_site_fract_x
_atom_site_fract_y
_atom_site_fract_z
_atom_site_occupancy
La1 La 0.0000 0.0000 0.2500 1
Tb1 Tb 0.1086 0.3914 0.0000 1
Pr1 Pr 0.0000 0.0000 0.0000 1
Pr2 Pr 0.2024 0.2976 0.3679 1
Tm1 Tm 0.0000 0.5000 0.2500 1
```

- DOS(E_F): 1.56 states/eV/atom
- ΔH_f (0 K): 0.28 eV/atom

=====

Entry 5:
The following is a GGA-PBE calculation of an optimized crystal structure of ScRu2, from Alexandria.

```
data_ScRu2
_chemical_formula_sum 'Sc4 Ru8'
_space_group_name_H-M_alt 'C 1 m 1'
_space_group_IT_number 8
_cell_length_a 9.9835
_cell_length_b 2.9153
_cell_length_c 6.6967
_cell_angle_alpha 90.00
_cell_angle_beta 103.46
_cell_angle_gamma 90.00
loop_
_space_group_symop_operation_xyz
'x,y,z'
'x,-y,z'
'x+1/2,y+1/2,z'
'x+1/2,-y+1/2,z'
loop_
_atom_site_label
_atom_site_type_symbol
_atom_site_fract_x
_atom_site_fract_y
_atom_site_fract_z
_atom_site_occupancy
Sc1 Sc 0.0000 0.0000 0.0000 1
Sc2 Sc 0.1849 0.5000 0.3855 1
Ru1 Ru 0.1335 0.5000 0.7604 1
Ru2 Ru 0.2959 0.0000 0.0953 1
Ru3 Ru 0.3481 0.0000 0.7018 1
Ru4 Ru 0.4516 0.5000 0.4312 1
```

- DOS(E_F): 1.16 states/eV/atom
- ΔH_f (0 K): -0.12 eV/atom

=====

Entry 6:
The following is a GGA-PBE calculation of an optimized crystal structure of NaScSb2, from Alexandria.

```
data_NaScSb2
_chemical_formula_sum 'Na1 Sc1 Sb2'
_space_group_name_H-M_alt 'P 4/m m m'
_space_group_IT_number 123
_space_group_name_Hall '-P 4 2'
_cell_length_a 3.7185
_cell_length_b 3.7185
_cell_length_c 7.6164
_cell_angle_alpha 90.00
_cell_angle_beta 90.00
_cell_angle_gamma 90.00
loop_
_atom_site_label
_atom_site_type_symbol
_atom_site_fract_x
_atom_site_fract_y
_atom_site_fract_z
_atom_site_occupancy
Na1 Na 0.0000 0.0000 0.0000 1
Sc1 Sc 0.0000 0.0000 0.5000 1
Sb1 Sb 0.5000 0.5000 0.2874 1
```

- DOS(E_F): 0.72 states/eV/atom

=====

Entry 7:
The following is a GGA-PBE calculation of an optimized crystal structure of NaP2IrW, from Alexandria.

```
data_NaP2IrW
_chemical_formula_sum 'Na1 P2 Ir1 W1'
_space_group_name_H-M_alt 'P 4/m m m'
_space_group_IT_number 123
_space_group_name_Hall '-P 4 2'
_cell_length_a 4.5952
_cell_length_b 4.5952
_cell_length_c 5.2834
_cell_angle_alpha 90.00
_cell_angle_beta 90.00
_cell_angle_gamma 90.00
loop_
_atom_site_label
_atom_site_type_symbol
_atom_site_fract_x
_atom_site_fract_y
_atom_site_fract_z
_atom_site_occupancy
Na1 Na 0.0000 0.0000 0.0000 1
P1 P 0.0000 0.5000 0.5000 1
Ir1 Ir 0.5000 0.5000 0.0000 1
W1 W 0.0000 0.0000 0.5000 1
```

- DOS(E_F): 0.96 states/eV/atom
- ΔH_f (0 K): 1.43 eV/atom

=====

Entry 8:
The following is a GGA-PBE calculation of an optimized crystal structure of Mg14SbC, from Alexandria.

```
data_Mg14SbC
_chemical_formula_sum 'Mg28 Sb2 C2'
_space_group_name_H-M_alt 'A m m 2'
_space_group_IT_number 38
_cell_length_a 8.6990
_cell_length_b 7.9018
_cell_length_c 10.1787
_cell_angle_alpha 90.00
_cell_angle_beta 90.00
_cell_angle_gamma 90.00
loop_
_space_group_symop_operation_xyz
'x,y,z'
'-x,-y,z'
'-x,y,z'
'x,-y,z'
'x,y+1/2,z+1/2'
'-x,-y+1/2,z+1/2'
'-x,y+1/2,z+1/2'
'x,-y+1/2,z+1/2'
loop_
_atom_site_label
_atom_site_type_symbol
_atom_site_fract_x
_atom_site_fract_y
_atom_site_fract_z
_atom_site_occupancy
Mg1 Mg 0.0000 0.0000 0.0000 1
Mg2 Mg 0.0000 0.0000 0.4745 1
Mg3 Mg 0.0000 0.2093 0.7277 1
Mg4 Mg 0.2265 0.0000 0.2456 1
Mg5 Mg 0.2813 0.0000 0.7926 1
Mg6 Mg 0.3111 0.1819 0.5237 1
Mg7 Mg 0.5000 0.2350 0.2635 1
Sb1 Sb 0.5000 0.0000 0.0317 1
C1 C 0.5000 0.0000 0.6494 1
```

- DOS(E_F): 0.46 states/eV/atom

=====

| no. | electronic total energy (eV/atom) |
| --- | --- |
| 1 | -3.312 |
| 2 | -7.496 |
| 3 | -8.991 |
| 4 | -4.447 |
| 5 | -8.419 |
| 6 | -4.468 |
| 7 | -5.358 |
| 8 | -2.100 |